A relaxed structure of YBiS2, computed with GGA-PBEsol.

Output
Magnetic moment ... 0.0 μB/f.u.
Uncorrected formation energy ... -982 meV/atom
Raw total energy ... -5.95 eV/atom

abc: 6.310 6.310 6.310
angles: 107.52 107.52 113.45
Fractional positions:
S  0.625  0.145  0.020
Bi  0.000  0.000  0.000
S  0.395  0.375  0.520
S  0.855  0.875  0.480
Bi  0.250  0.750  0.500
Y  0.750  0.250  0.500
Y  0.500  0.500  0.000
S  0.125  0.605  0.980

A relaxed structure of ZnBiS2, computed with GGA-PBEsol.

Output
Magnetic moment ... 0.0 μB/f.u.
Uncorrected formation energy ... -101 meV/atom
Raw total energy ... -3.76 eV/atom

abc: 4.545 4.545 7.221
angles: 71.66 71.66 60.00
Fractional positions:
Bi  0.500  0.500  0.500
S  0.894  0.894  0.319
Zn  0.000  0.000  0.000
S  0.106  0.106  0.681